BaPdN3, relaxed, DFT PBE; crystal system = cubic; space group = Pm-3m (221); final energy = -3.62 eV/atom
1.0
4.5010 0.0000 0.0000
0.0000 4.5010 0.0000
0.0000 0.0000 4.5010
Ba Pd N
1 1 3
direct
0.0000 0.0000 0.0000 Ba
0.5000 0.5000 0.5000 Pd
0.0000 0.5000 0.0000 N
0.0000 0.0000 0.5000 N
0.5000 0.0000 0.0000 N


PS4F, relaxed, DFT PBE; crystal system = triclinic; space group = P-1 (2); final energy = -4.28 eV/atom
1.0
5.2092 -1.4502 -1.3239
-3.6748 5.9708 -1.9094
-0.2309 2.0423 11.3166
P S F
2 8 2
direct
0.2422 0.4981 0.5040 P
0.7578 0.5019 0.4960 P
0.0737 0.9018 0.0415 S
0.6429 0.5359 0.9435 S
0.0923 0.6465 0.3876 S
0.9077 0.3535 0.6124 S
0.7917 0.7674 0.6157 S
0.3571 0.4641 0.0565 S
0.2083 0.2326 0.3843 S
0.9263 0.0982 0.9585 S
0.6010 0.2559 0.6769 F
0.3990 0.7441 0.3231 F